Entry 1:
14
Lattice="5.411 -5.009 0.000 5.411 5.009 0.000 -4.785 0.000 9.717" Properties=species:S:1:pos:R:3 comment="DyGeBr5 PBE relaxed" formation_energy_uncorrected_ev_per_atom=-1.243 rho_g_cm3=4.0 total_energy_ev_per_atom=-3.755 pbc="T T T"
Dy 2.705 2.505 0.000
Dy 0.313 -2.505 4.859
Ge 1.822 4.247 7.288
Ge 4.215 -4.247 2.429
Br 0.308 2.324 8.223
Br 0.190 0.260 4.827
Br 4.215 2.508 2.429
Br -2.203 -0.260 9.685
Br 3.336 2.324 6.353
Br 2.701 -2.324 3.364
Br 8.240 0.260 0.032
Br 1.822 -2.508 7.288
Br 5.847 -0.260 4.891
Br 5.729 -2.324 1.494


Entry 2:
12
Lattice="9.395 -2.034 0.000 9.395 2.034 0.000 -8.092 0.000 9.914" Properties=species:S:1:pos:R:3 comment="Dy2GeBr3 PBE relaxed" formation_energy_uncorrected_ev_per_atom=-1.368 rho_g_cm3=5.6 total_energy_ev_per_atom=-4.508 pbc="T T T"
Dy -1.466 0.000 4.370
Dy 5.561 0.000 1.785
Dy 5.137 0.000 8.129
Dy 12.164 0.000 5.543
Ge -3.851 0.000 6.178
Ge 14.549 0.000 3.736
Br 3.088 0.000 0.257
Br 1.703 0.000 3.823
Br 2.298 0.000 7.623
Br 8.400 0.000 2.291
Br 8.995 0.000 6.091
Br 7.610 0.000 9.656